# 1
# Sm2Y2CBr3Cl2

An optimized crystal structure of Sm2Y2CBr3Cl2 (PBE, OQMD via LeMat-Bulk).

The value obtained for the excess energy over the best structure of this formula in the dataset is 2.1 meV/atom. The magnetic moment is 0.34 μB per formula unit.

It has space group C2/m (No. 12), with a = 17.7979 Å, b = 3.8164 Å, c = 8.0868 Å, α = 90.00°, β = 103.53° and γ = 90.00°. Symmetry generates all atoms from Sm at (0.1426, 0.0000, 0.0804), Y at (0.0005, 0.5000, 0.7973), C at (0.0000, 0.0000, 0.0000), Br at (0.0000, 0.0000, 0.5000), Br at (0.1692, 0.5000, 0.8190) and Cl at (0.1563, 0.5000, 0.3370).



# 2
# GdZn

An optimized crystal structure of GdZn (PBE, OQMD via LeMat-Bulk).

The value obtained for the excess energy over the best structure of this formula in the dataset is 135.8 meV/atom. The magnetic moment is 0.01 μB per formula unit. The calculated formation energy comes out at -0.20 eV/atom.

It has space group Pmmn (No. 59, origin choice 2), with a = 5.0097 Å, b = 12.5585 Å, c = 5.8790 Å, α = 90.00°, β = 90.00° and γ = 90.00°. Symmetry generates all atoms from Gd at (0.2500, 0.0762, 0.1142), Gd at (0.2500, 0.2500, 0.6229), Gd at (0.2500, 0.7500, 0.8072), Zn at (0.2500, 0.5101, 0.6263) and Zn at (0.2500, 0.6418, 0.2767).



# 3
# Cs2NbTe3

An optimized crystal structure of Cs2NbTe3 (PBE, OQMD via LeMat-Bulk).

As for the calculated total energy: -4.292 eV per atom. The magnetic moment is 1.00 μB per formula unit.

It has space group Cmcm (No. 63), with a = 13.7325 Å, b = 10.3076 Å, c = 7.6804 Å, α = 90.00°, β = 90.00° and γ = 90.00°. Symmetry generates all atoms from Cs at (0.1568, 0.1710, 0.2500), Nb at (0.0000, 0.4081, 0.7500), Te at (0.0000, 0.1523, 0.7500) and Te at (0.1327, 0.5000, 0.0000).



# 4
# TbDyBi

An optimized crystal structure of TbDyBi (PBE, OQMD via LeMat-Bulk).

As for the calculated total energy: -4.733 eV per atom. The magnetic moment is 0.03 μB per formula unit.

It has space group F-43m (No. 216), with a = 7.3152 Å, b = 7.3152 Å, c = 7.3152 Å, α = 90.00°, β = 90.00° and γ = 90.00°. Symmetry generates all atoms from Tb at (0.0000, 0.0000, 0.0000), Dy at (0.0000, 0.0000, 0.5000) and Bi at (0.2500, 0.2500, 0.7500).



# 5
# ZrScGaCo

An optimized crystal structure of ZrScGaCo (PBE, OQMD via LeMat-Bulk).

The value obtained for the excess energy over the best structure of this formula in the dataset is 0.0 meV/atom. The magnetic moment is 1.00 μB per formula unit.

It has space group F-43m (No. 216), with a = 6.4143 Å, b = 6.4143 Å, c = 6.4143 Å, α = 90.00°, β = 90.00° and γ = 90.00°. Symmetry generates all atoms from Zr at (0.0000, 0.0000, 0.0000), Sc at (0.2500, 0.2500, 0.2500), Ga at (0.0000, 0.0000, 0.5000) and Co at (0.2500, 0.2500, 0.7500).



# 6
# ScAgSnPd

An optimized crystal structure of ScAgSnPd (PBE, OQMD via LeMat-Bulk).

The value obtained for the excess energy over the best structure of this formula in the dataset is 131.9 meV/atom. The magnetic moment is 0.00 μB per formula unit.

It has space group F-43m (No. 216), with a = 6.7250 Å, b = 6.7250 Å, c = 6.7250 Å, α = 90.00°, β = 90.00° and γ = 90.00°. Symmetry generates all atoms from Sc at (0.0000, 0.0000, 0.0000), Ag at (0.0000, 0.0000, 0.5000), Sn at (0.2500, 0.2500, 0.2500) and Pd at (0.2500, 0.2500, 0.7500).